Entry P
{"formula": "KBaSr2", "functional": "GGA-PBE", "state": "relaxed", "lattice": [[4.353, 0.000, 0.000], [0.000, 6.261, 0.000], [0.000, 0.000, 8.884]], "species": ["K", "Ba", "Sr", "Sr"], "fractional_positions": [[0.000, 0.000, 0.000], [0.500, 0.500, 0.737], [0.000, 0.000, 0.490], [0.500, 0.500, 0.258]], "space_group": "Pmm2 (25)"}

Entry Q
{"formula": "KBaSr2", "functional": "GGA-PBE", "state": "relaxed", "lattice": [[-2.363, 3.570, 7.172], [2.363, -3.570, 7.172], [2.363, 3.570, -7.172]], "species": ["K", "Ba", "Sr", "Sr"], "fractional_positions": [[0.000, 0.000, 0.000], [0.500, 0.500, 0.000], [0.244, 0.744, 0.500], [0.756, 0.256, 0.500]], "space_group": "Immm (71)"}

Entry R
{"formula": "KBaSr2", "functional": "GGA-PBE", "state": "relaxed", "lattice": [[-5.454, 5.454, 4.140], [5.454, -5.454, 4.140], [5.454, 5.454, -4.140]], "species": ["K", "K", "Ba", "Ba", "Sr", "Sr", "Sr", "Sr"], "fractional_positions": [[0.000, 0.000, 0.000], [0.750, 0.250, 0.500], [0.250, 0.750, 0.500], [0.500, 0.500, 0.000], [0.110, 0.625, 0.985], [0.375, 0.360, 0.485], [0.640, 0.125, 0.015], [0.875, 0.890, 0.515]], "space_group": "I-42d (122)"}

Entry S
{"formula": "KBaSr2", "functional": "GGA-PBE", "state": "relaxed", "lattice": [[0.000, 4.958, 4.958], [4.958, 0.000, 4.958], [4.958, 4.958, 0.000]], "species": ["K", "Ba", "Sr", "Sr"], "fractional_positions": [[0.000, 0.000, 0.000], [0.750, 0.750, 0.750], [0.250, 0.250, 0.250], [0.500, 0.500, 0.500]], "space_group": "F-43m (216)"}

Least stable of them? entry R.

Entry P
{"formula": "KBaSr2", "functional": "GGA-PBE", "state": "relaxed", "lattice": [[-3.107, 3.107, 6.265], [3.107, -3.107, 6.265], [3.107, 3.107, -6.265]], "species": ["K", "Ba", "Sr", "Sr"], "fractional_positions": [[0.000, 0.000, 0.000], [0.750, 0.250, 0.500], [0.250, 0.750, 0.500], [0.500, 0.500, 0.000]], "space_group": "I-4m2 (119)"}

Entry Q
{"formula": "KBaSr2", "functional": "GGA-PBE", "state": "relaxed", "lattice": [[-2.375, 3.577, 7.132], [2.375, -3.577, 7.132], [2.375, 3.577, -7.132]], "species": ["K", "Ba", "Sr", "Sr"], "fractional_positions": [[0.000, 0.000, 0.000], [0.748, 0.248, 0.500], [0.243, 0.743, 0.500], [0.490, 0.490, 0.000]], "space_group": "Imm2 (44)"}

Entry R
{"formula": "KBaSr2", "functional": "GGA-PBE", "state": "relaxed", "lattice": [[4.244, 0.000, 0.000], [0.000, 7.034, 0.000], [-1.402, 0.000, 8.096]], "species": ["K", "Ba", "Sr", "Sr"], "fractional_positions": [[0.000, 0.000, 0.000], [0.500, 0.000, 0.500], [0.213, 0.500, 0.745], [0.787, 0.500, 0.255]], "space_group": "P2/m (10)"}

Entry S
{"formula": "KBaSr2", "functional": "GGA-PBE", "state": "relaxed", "lattice": [[2.180, 1.259, 14.709], [-2.180, 1.259, 14.709], [0.000, -2.518, 14.709]], "species": ["K", "Ba", "Sr", "Sr"], "fractional_positions": [[0.000, 0.000, 0.000], [0.167, 0.167, 0.167], [0.419, 0.419, 0.419], [0.581, 0.581, 0.581]], "space_group": "R3m (160)"}

Least stable of them? entry P.

Entry P
{"formula": "KBaSr2", "functional": "GGA-PBE", "state": "relaxed", "lattice": [[7.304, -2.159, 0.000], [7.304, 2.159, 0.000], [-1.146, 0.000, 7.676]], "species": ["K", "Ba", "Sr", "Sr"], "fractional_positions": [[0.000, 0.000, 0.000], [0.247, 0.247, 0.742], [0.496, 0.496, 0.494], [0.750, 0.750, 0.257]], "space_group": "Cm (8)"}

Entry Q
{"formula": "KBaSr2", "functional": "GGA-PBE", "state": "relaxed", "lattice": [[4.732, 0.000, 0.000], [0.000, 7.119, 0.000], [0.000, 0.000, 7.165]], "species": ["K", "Ba", "Sr", "Sr"], "fractional_positions": [[0.000, 0.000, 0.000], [0.500, 0.500, 0.000], [0.000, 0.500, 0.500], [0.500, 0.000, 0.500]], "space_group": "Pmmm (47)"}

Entry R
{"formula": "KBaSr2", "functional": "GGA-PBE", "state": "relaxed", "lattice": [[2.393, -3.509, 0.000], [2.393, 3.509, 0.000], [0.000, 0.000, 14.378]], "species": ["K", "Ba", "Sr", "Sr"], "fractional_positions": [[0.000, 0.000, 0.000], [0.500, 0.500, 0.266], [0.000, 0.000, 0.507], [0.500, 0.500, 0.742]], "space_group": "Cmm2 (35)"}

Least stable of them? entry Q.

Entry P
{"formula": "KBaSr2", "functional": "GGA-PBE", "state": "relaxed", "lattice": [[4.251, 0.000, 0.000], [0.000, 7.014, 0.000], [-1.357, 0.000, 8.104]], "species": ["K", "Ba", "Sr", "Sr"], "fractional_positions": [[0.000, 0.000, 0.000], [0.242, 0.500, 0.742], [0.516, 0.000, 0.494], [0.782, 0.500, 0.256]], "space_group": "Pm (6)"}

Entry Q
{"formula": "KBaSr2", "functional": "GGA-PBE", "state": "relaxed", "lattice": [[2.175, 1.256, 14.695], [-2.175, 1.256, 14.695], [0.000, -2.511, 14.695]], "species": ["K", "Ba", "Sr", "Sr"], "fractional_positions": [[0.000, 0.000, 0.000], [0.500, 0.500, 0.500], [0.248, 0.248, 0.248], [0.752, 0.752, 0.752]], "space_group": "R-3m (166)"}

Least stable of them? entry P.

Entry P
{"formula": "KBaSr2", "functional": "GGA-PBE", "state": "relaxed", "lattice": [[4.402, -6.341, 0.000], [4.402, 6.341, 0.000], [0.000, 0.000, 4.343]], "species": ["K", "Ba", "Sr", "Sr"], "fractional_positions": [[0.000, 0.000, 0.000], [0.500, 0.500, 0.000], [0.000, 0.500, 0.500], [0.500, 0.000, 0.500]], "space_group": "Cmmm (65)"}

Entry Q
{"formula": "KBaSr2", "functional": "GGA-PBE", "state": "relaxed", "lattice": [[2.418, -3.478, 0.000], [2.418, 3.478, 0.000], [0.000, 0.000, 14.283]], "species": ["K", "Ba", "Sr", "Sr"], "fractional_positions": [[0.000, 0.000, 0.000], [0.000, 0.000, 0.500], [0.500, 0.500, 0.259], [0.500, 0.500, 0.741]], "space_group": "Cmmm (65)"}

Entry R
{"formula": "KBaSr2", "functional": "GGA-PBE", "state": "relaxed", "lattice": [[-3.083, 3.083, 6.371], [3.083, -3.083, 6.371], [3.083, 3.083, -6.371]], "species": ["K", "Ba", "Sr", "Sr"], "fractional_positions": [[0.000, 0.000, 0.000], [0.500, 0.500, 0.000], [0.250, 0.750, 0.500], [0.750, 0.250, 0.500]], "space_group": "I4/mmm (139)"}

Entry S
{"formula": "KBaSr2", "functional": "GGA-PBE", "state": "relaxed", "lattice": [[0.000, 4.962, 4.962], [4.962, 0.000, 4.962], [4.962, 4.962, 0.000]], "species": ["K", "Ba", "Sr", "Sr"], "fractional_positions": [[0.000, 0.000, 0.000], [0.500, 0.500, 0.500], [0.250, 0.250, 0.250], [0.750, 0.750, 0.750]], "space_group": "Fm-3m (225)"}

Least stable of them? entry S.

Entry P
{"formula": "KBa2Sr8", "functional": "GGA-PBE", "state": "relaxed", "lattice": [[10.322, -4.907, 0.000], [10.322, 4.907, 0.000], [-2.257, 0.000, 6.458]], "species": ["K", "Ba", "Ba", "Sr", "Sr", "Sr", "Sr", "Sr", "Sr", "Sr", "Sr"], "fractional_positions": [[0.000, 0.000, 0.000], [0.303, 0.303, 0.303], [0.697, 0.697, 0.697], [0.145, 0.572, 0.859], [0.166, 0.166, 0.667], [0.288, 0.712, 0.500], [0.428, 0.855, 0.141], [0.572, 0.145, 0.859], [0.712, 0.288, 0.500], [0.834, 0.834, 0.333], [0.855, 0.428, 0.141]], "space_group": "C2/m (12)"}

Entry Q
{"formula": "KBa2Sr8", "functional": "GGA-PBE", "state": "relaxed", "lattice": [[5.975, 0.000, 0.000], [0.000, 5.975, 0.000], [0.000, 0.000, 19.155]], "species": ["K", "Ba", "Ba", "Sr", "Sr", "Sr", "Sr", "Sr", "Sr", "Sr", "Sr"], "fractional_positions": [[0.000, 0.000, 0.000], [0.000, 0.000, 0.334], [0.000, 0.000, 0.666], [0.000, 0.500, 0.172], [0.000, 0.500, 0.500], [0.000, 0.500, 0.828], [0.500, 0.000, 0.172], [0.500, 0.000, 0.500], [0.500, 0.000, 0.828], [0.500, 0.500, 0.335], [0.500, 0.500, 0.665]], "space_group": "P4/mmm (123)"}

Least stable of them? entry P.

Entry P
{"formula": "K2Ba4Sr", "functional": "GGA-PBE", "state": "relaxed", "lattice": [[2.200, -24.059, 0.000], [2.200, 24.059, 0.000], [0.000, 0.000, 4.381]], "species": ["K", "K", "Ba", "Ba", "Ba", "Ba", "Sr"], "fractional_positions": [[0.208, 0.792, 0.000], [0.792, 0.208, 0.000], [0.065, 0.935, 0.000], [0.366, 0.634, 0.500], [0.634, 0.366, 0.500], [0.935, 0.065, 0.000], [0.500, 0.500, 0.500]], "space_group": "Cmmm (65)"}

Entry Q
{"formula": "K2Ba4Sr", "functional": "GGA-PBE", "state": "relaxed", "lattice": [[-3.572, 3.572, 10.914], [3.572, -3.572, 10.914], [3.572, 3.572, -10.914]], "species": ["K", "K", "Ba", "Ba", "Ba", "Ba", "Sr"], "fractional_positions": [[0.121, 0.121, 0.000], [0.879, 0.879, 0.000], [0.000, 0.500, 0.500], [0.324, 0.324, 0.000], [0.500, 0.000, 0.500], [0.676, 0.676, 0.000], [0.500, 0.500, 0.000]], "space_group": "I4/mmm (139)"}

Least stable of them? entry Q.

Entry P
{"formula": "KBaSr3", "functional": "GGA-PBE", "state": "relaxed", "lattice": [[6.950, 0.000, 0.000], [0.000, 6.950, 0.000], [0.000, 0.000, 6.950]], "species": ["K", "Ba", "Sr", "Sr", "Sr"], "fractional_positions": [[0.000, 0.000, 0.000], [0.500, 0.500, 0.500], [0.000, 0.000, 0.500], [0.000, 0.500, 0.000], [0.500, 0.000, 0.000]], "space_group": "Pm-3m (221)"}

Entry Q
{"formula": "KBaSr3", "functional": "GGA-PBE", "state": "relaxed", "lattice": [[7.079, 0.000, 0.000], [0.000, 7.079, 0.000], [0.000, 0.000, 7.079]], "species": ["K", "Ba", "Sr", "Sr", "Sr"], "fractional_positions": [[0.000, 0.000, 0.000], [0.500, 0.500, 0.500], [0.000, 0.500, 0.500], [0.500, 0.000, 0.500], [0.500, 0.500, 0.000]], "space_group": "Pm-3m (221)"}

Least stable of them? entry Q.

Entry P
{"formula": "KBaTa", "functional": "GGA-PBE", "state": "relaxed", "lattice": [[6.115, 0.000, 0.000], [-3.057, 5.296, 0.000], [0.000, 0.000, 3.071]], "species": ["K", "Ba", "Ta"], "fractional_positions": [[0.000, 0.000, 0.000], [0.333, 0.667, 0.500], [0.667, 0.333, 0.500]], "space_group": "P-6m2 (187)"}

Entry Q
{"formula": "KBaTa", "functional": "GGA-PBE", "state": "relaxed", "lattice": [[-1.598, 2.873, 5.728], [1.598, -2.873, 5.728], [1.598, 2.873, -5.728]], "species": ["K", "Ba", "Ta"], "fractional_positions": [[0.000, 0.000, 0.000], [0.316, 0.316, 0.000], [0.671, 0.671, 0.000]], "space_group": "Imm2 (44)"}

Entry R
{"formula": "KBaTa", "functional": "GGA-PBE", "state": "relaxed", "lattice": [[0.000, 2.372, 9.533], [2.351, 0.000, 9.533], [2.351, 2.372, 0.000]], "species": ["K", "Ba", "Ta"], "fractional_positions": [[0.000, 0.000, 0.000], [0.285, 0.285, 0.715], [0.656, 0.656, 0.344]], "space_group": "Fmm2 (42)"}

Entry S
{"formula": "KBaTa", "functional": "GGA-PBE", "state": "relaxed", "lattice": [[3.774, 0.000, 0.000], [0.000, 17.665, 0.000], [-3.774, 0.000, 3.774]], "species": ["K", "K", "Ba", "Ba", "Ta", "Ta"], "fractional_positions": [[0.000, 0.111, 0.000], [0.000, 0.889, 0.500], [0.005, 0.334, 0.507], [0.005, 0.666, 0.007], [0.006, 0.473, 0.008], [0.006, 0.527, 0.508]], "space_group": "Pc (7)"}

Least stable of them? entry P.

Entry P
{"formula": "KBaTa", "functional": "GGA-PBE", "state": "relaxed", "lattice": [[15.956, 0.000, 0.000], [0.000, 4.555, 0.000], [0.000, 0.000, 7.775]], "species": ["K", "K", "K", "K", "Ba", "Ba", "Ba", "Ba", "Ta", "Ta", "Ta", "Ta"], "fractional_positions": [[0.078, 0.250, 0.109], [0.422, 0.750, 0.609], [0.578, 0.250, 0.391], [0.922, 0.750, 0.891], [0.181, 0.250, 0.621], [0.319, 0.750, 0.121], [0.681, 0.250, 0.879], [0.819, 0.750, 0.379], [0.031, 0.750, 0.485], [0.469, 0.250, 0.985], [0.531, 0.750, 0.015], [0.969, 0.250, 0.515]], "space_group": "Pnma (62)"}

Entry Q
{"formula": "KBaTa", "functional": "GGA-PBE", "state": "relaxed", "lattice": [[5.498, 0.000, 0.000], [0.000, 5.498, 0.000], [0.000, 0.000, 9.564]], "species": ["K", "K", "Ba", "Ba", "Ta", "Ta"], "fractional_positions": [[0.250, 0.250, 0.133], [0.750, 0.750, 0.867], [0.250, 0.750, 0.500], [0.750, 0.250, 0.500], [0.250, 0.250, 0.730], [0.750, 0.750, 0.270]], "space_group": "P4/nmm (129)"}

Least stable of them? entry Q.